Entry 1:
CaMoPdW2 | Alexandria | PBE | optimized geometry; ρ = 8.8 g cm⁻³; space group = P4/mmm, No. 123; DOS(E_F) = 5.2 states/eV per cell
1.0
4.8152 0.0000 0.0000
0.0000 4.8152 0.0000
0.0000 0.0000 4.9656
Ca Mo Pd W
1 1 1 2
Direct
0.0000 0.0000 0.0000
0.5000 0.5000 0.0000
0.0000 0.0000 0.5000
0.0000 0.5000 0.5000
0.5000 0.0000 0.5000


Entry 2:
CaMoPt | Alexandria | PBE | optimized geometry; ρ = 8.4 g cm⁻³; space group = Amm2, No. 38; energy above the lowest structure with this stoichiometry = 183 meV/atom; DOS(E_F) = 4.5 states/eV per cell
1.0
4.5530 0.0000 0.0000
0.0000 5.5354 2.5827
0.0000 -5.5354 2.5827
Ca Mo Pt
2 2 2
Direct
0.0000 0.9996 0.9996
0.5000 0.5000 0.5000
0.0000 0.0037 0.5029
0.0000 0.5029 0.0037
0.5000 0.1978 0.8063
0.5000 0.8063 0.1978


Entry 3:
CaMo4Pt | Alexandria | PBE | optimized geometry; ρ = 9.6 g cm⁻³; space group = F-43m, No. 216; DOS(E_F) = 4.1 states/eV per cell
1.0
0.0000 3.7702 3.7702
3.7702 0.0000 3.7702
3.7702 3.7702 0.0000
Ca Mo Pt
1 4 1
Direct
0.0000 0.0000 0.0000
0.1197 0.6268 0.6268
0.6268 0.1197 0.6268
0.6268 0.6268 0.1197
0.6268 0.6268 0.6268
0.2500 0.2500 0.2500


Sequential DFT total energy output: -6.80 -6.39 -8.23 eV per atom